First-principles (GGA-PBE) data for a relaxed structure of NiPd2RhSe8, as listed in Alexandria via LeMat-Bulk.

Its space-group type is I-4m2, No. 119. For the spin magnetization, the calculation gives 0.00 μB per cell. The energy relative to the elements, uncorrected comes out at 158 meV/atom. The volume is 22.95 Å³ per atom. For the density of states at the Fermi level, the calculation gives 8.97 states/eV/cell. As for the total energy: -4.125 eV/atom.

a = 7.1025 Å, b = 7.1025 Å, c = 7.1025 Å
α = 110.69°, β = 110.69°, γ = 107.06°
Closest atoms and distances in Å follow each position.
Element x y z (fractional)
Se1 0.6879 0.0131 0.6747  1 Pd 2.45, 1 Rh 2.63, 1 Ni 2.63, 1 Se 2.65
Se2 0.2669 0.0910 0.8242  1 Pd 2.43, 1 Ni 2.62, 1 Se 2.65, 1 Rh 2.66
Se3 0.9090 0.7331 0.1758  1 Pd 2.43, 1 Ni 2.62, 1 Se 2.65, 1 Rh 2.66
Se4 0.9869 0.6616 0.6747  1 Pd 2.45, 1 Rh 2.63, 1 Ni 2.63, 1 Se 2.65
Se5 0.2669 0.4427 0.1758  1 Pd 2.43, 1 Ni 2.62, 1 Se 2.65, 1 Rh 2.66
Se6 0.3384 0.0131 0.3253  1 Pd 2.45, 1 Rh 2.63, 1 Ni 2.63, 1 Se 2.65
Se7 0.5573 0.7331 0.8242  1 Pd 2.43, 1 Ni 2.62, 1 Se 2.65, 1 Rh 2.66
Se8 0.9869 0.3121 0.3253  1 Pd 2.45, 1 Rh 2.63, 1 Ni 2.63, 1 Se 2.65
Ni1 0.2500 0.7500 0.5000  8 Se 2.62-2.63
Pd1 0.7500 0.2500 0.5000  4 Se 2.45
Pd2 0.5000 0.5000 0.0000  4 Se 2.43
Rh1 0.0000 0.0000 0.0000  8 Se 2.63-2.66